Below is a PBEsol-optimized structure of MgZrBr4, with properties calculated at the meta-GGA SCAN level.

Cell and atoms, written as POSCAR:
```
MgZrBr4
1.0
6.053 0.000 0.000
3.027 5.242 0.000
3.027 1.747 4.942
Br Mg Zr
4 1 1
direct
0.375 0.375 0.375
0.375 0.375 0.876
0.876 0.375 0.375
0.375 0.876 0.375
0.750 0.750 0.750
0.000 0.000 0.000
```

## Properties
E (eV/atom): -18.42
Formation energy from raw total energies (eV/atom): 0.495
DOS at the Fermi energy (states/eV/cell): 7.44